# 1
ZrAg2F2 | PBE | optimized geometry

Properties
Energy relative to the elements, uncorrected = -1.42 eV/atom
Energy relative to the lowest polymorph listed for this composition = 0.0 meV/atom
Crystal system = tetragonal
Magnetization = 1.3 μB per cell
Calculated volume = 17.8 Å³/atom

The structure in CIF format:
```
data_ZrAg2F2
_chemical_formula_sum 'Zr2 Ag4 F4'
_cell_length_a 5.621
_cell_length_b 5.621
_cell_length_c 5.626
_cell_angle_alpha 90.00
_cell_angle_beta 90.00
_cell_angle_gamma 90.00
_symmetry_space_group_name_H-M 'P 4/m b m'
_symmetry_Int_Tables_number 127
_symmetry_space_group_name_Hall '-P 4 2ab'
loop_
_atom_site_label
_atom_site_fract_x
_atom_site_fract_y
_atom_site_fract_z
_atom_site_occupancy
Zr1 0.000 0.000 0.000 1
Ag1 0.192 0.308 0.500 1
F1 0.167 0.667 0.000 1
```

***

# 2
AcNiAs2 | PBE | optimized geometry

Properties
ΔH_f (0 K) = -82 kJ per mole of atoms
Energy relative to the lowest polymorph listed for this composition = 0.0 meV/atom
Crystal system = tetragonal
Magnetization = 0.0 μB per cell
Calculated volume = 22.2 Å³/atom

The structure in CIF format:
```
data_AcNiAs2
_chemical_formula_sum 'Ac2 Ni2 As4'
_cell_length_a 4.262
_cell_length_b 4.262
_cell_length_c 9.779
_cell_angle_alpha 90.00
_cell_angle_beta 90.00
_cell_angle_gamma 90.00
_symmetry_space_group_name_H-M 'I -4 m 2'
_symmetry_Int_Tables_number 119
_symmetry_space_group_name_Hall 'I -4 -2'
loop_
_atom_site_label
_atom_site_fract_x
_atom_site_fract_y
_atom_site_fract_z
_atom_site_occupancy
Ac1 0.000 0.000 0.000 1
Ni1 0.000 0.500 0.750 1
As1 0.000 0.000 0.362 1
```

***

# 3
Ti2MnTl3Te6 | PBE | optimized geometry

Properties
Energy relative to the elements, uncorrected = -0.43 eV/atom
Crystal system = monoclinic
Magnetization = 10.9 μB per cell
Calculated volume = 29.6 Å³/atom

The structure in CIF format:
```
data_Ti2MnTl3Te6
_chemical_formula_sum 'Ti4 Mn2 Tl6 Te12'
_cell_length_a 7.011
_cell_length_b 12.197
_cell_length_c 8.313
_cell_angle_alpha 90.00
_cell_angle_beta 90.11
_cell_angle_gamma 90.00
_symmetry_space_group_name_H-M 'C 1 2/m 1'
_symmetry_Int_Tables_number 12
loop_
_symmetry_equiv_pos_as_xyz
'x,y,z'
'-x,-y,-z'
'-x,y,-z'
'x,-y,z'
'x+1/2,y+1/2,z'
'-x+1/2,-y+1/2,-z'
'-x+1/2,y+1/2,-z'
'x+1/2,-y+1/2,z'
loop_
_atom_site_label
_atom_site_fract_x
_atom_site_fract_y
_atom_site_fract_z
_atom_site_occupancy
Ti1 0.000 0.170 0.000 1
Mn1 0.000 0.500 0.000 1
Tl1 0.000 0.165 0.500 1
Tl2 0.000 0.500 0.500 1
Te1 0.166 0.000 0.813 1
Te2 0.167 0.333 0.809 1
```

***

# 4
PrNd2Dy9 | PBE | optimized geometry

Properties
ΔH_f (0 K) = 2 kJ per mole of atoms
Energy relative to the lowest polymorph listed for this composition = 0.0 meV/atom
Crystal system = tetragonal
Magnetization = 0.0 μB per cell
Calculated volume = 32.4 Å³/atom

The structure in CIF format:
```
data_PrNd2Dy9
_chemical_formula_sum 'Pr1 Nd2 Dy9'
_cell_length_a 5.060
_cell_length_b 5.060
_cell_length_c 15.178
_cell_angle_alpha 90.00
_cell_angle_beta 90.00
_cell_angle_gamma 90.00
_symmetry_space_group_name_H-M 'P 4/m m m'
_symmetry_Int_Tables_number 123
_symmetry_space_group_name_Hall '-P 4 2'
loop_
_atom_site_label
_atom_site_fract_x
_atom_site_fract_y
_atom_site_fract_z
_atom_site_occupancy
Pr1 0.000 0.000 0.000 1
Nd1 0.000 0.000 0.333 1
Dy1 0.000 0.500 0.167 1
Dy2 0.000 0.500 0.500 1
Dy3 0.500 0.500 0.000 1
Dy4 0.500 0.500 0.334 1
```

***

# 5
Ca2ReHI | PBE | optimized geometry

Properties
Crystal system = tetragonal
Uncorrected energy = -4.02 eV per atom
Magnetization = 0.9 μB per cell
Calculated volume = 23.5 Å³/atom

The structure in CIF format:
```
data_Ca2ReHI
_chemical_formula_sum 'Ca2 Re1 H1 I1'
_cell_length_a 5.724
_cell_length_b 5.724
_cell_length_c 3.588
_cell_angle_alpha 90.00
_cell_angle_beta 90.00
_cell_angle_gamma 90.00
_symmetry_space_group_name_H-M 'P 4/m m m'
_symmetry_Int_Tables_number 123
_symmetry_space_group_name_Hall '-P 4 2'
loop_
_atom_site_label
_atom_site_fract_x
_atom_site_fract_y
_atom_site_fract_z
_atom_site_occupancy
Ca1 0.000 0.500 0.000 1
Re1 0.000 0.000 0.000 1
H1 0.000 0.000 0.500 1
I1 0.500 0.500 0.500 1
```

***

# 6
KCdW2 | PBE | optimized geometry

Properties
ΔH_f (0 K) = 73 kJ per mole of atoms
Crystal system = tetragonal
Magnetization = 0.0 μB per cell
Calculated volume = 24.1 Å³/atom

The structure in CIF format:
```
data_KCdW2
_chemical_formula_sum 'K1 Cd1 W2'
_cell_length_a 3.267
_cell_length_b 3.267
_cell_length_c 9.029
_cell_angle_alpha 90.00
_cell_angle_beta 90.00
_cell_angle_gamma 90.00
_symmetry_space_group_name_H-M 'P 4 m m'
_symmetry_Int_Tables_number 99
loop_
_symmetry_equiv_pos_as_xyz
'x,y,z'
'-y,x,z'
'-x,-y,z'
'y,-x,z'
'-x,y,z'
'y,x,z'
'x,-y,z'
'-y,-x,z'
loop_
_atom_site_label
_atom_site_fract_x
_atom_site_fract_y
_atom_site_fract_z
_atom_site_occupancy
K1 0.000 0.000 0.000 1
Cd1 0.500 0.500 0.683 1
W1 0.000 0.000 0.459 1
W2 0.500 0.500 0.327 1
```

***

# 7
Li3TaAs | PBE | optimized geometry

Properties
ΔH_f (0 K) = 137 kJ per mole of atoms
Energy relative to the lowest polymorph listed for this composition = 679.8 meV/atom
Crystal system = cubic
Magnetization = 3.4 μB per cell
Calculated volume = 24.4 Å³/atom

The structure in CIF format:
```
data_Li3TaAs
_chemical_formula_sum 'Li3 Ta1 As1'
_cell_length_a 4.960
_cell_length_b 4.960
_cell_length_c 4.960
_cell_angle_alpha 90.00
_cell_angle_beta 90.00
_cell_angle_gamma 90.00
_symmetry_space_group_name_H-M 'P m -3 m'
_symmetry_Int_Tables_number 221
_symmetry_space_group_name_Hall '-P 4 2 3'
loop_
_atom_site_label
_atom_site_fract_x
_atom_site_fract_y
_atom_site_fract_z
_atom_site_occupancy
Li1 0.000 0.000 0.500 1
Ta1 0.000 0.000 0.000 1
As1 0.500 0.500 0.500 1
```

***

# 8
La2Dy4Er | PBE | optimized geometry

Properties
ΔH_f (0 K) = 30 kJ per mole of atoms
Energy relative to the lowest polymorph listed for this composition = 0.0 meV/atom
Crystal system = orthorhombic
Magnetization = 0.0 μB per cell
Calculated volume = 36.6 Å³/atom

The structure in CIF format:
```
data_La2Dy4Er
_chemical_formula_sum 'La4 Dy8 Er2'
_cell_length_a 3.458
_cell_length_b 26.655
_cell_length_c 5.562
_cell_angle_alpha 90.00
_cell_angle_beta 90.00
_cell_angle_gamma 90.00
_symmetry_space_group_name_H-M 'C m m m'
_symmetry_Int_Tables_number 65
_symmetry_space_group_name_Hall '-C 2 2'
loop_
_atom_site_label
_atom_site_fract_x
_atom_site_fract_y
_atom_site_fract_z
_atom_site_occupancy
La1 0.000 0.194 0.000 1
Dy1 0.000 0.113 0.500 1
Dy2 0.000 0.428 0.000 1
Er1 0.000 0.500 0.500 1
```

***

# 9
Tb7Dy2Sc | PBE | optimized geometry

Properties
ΔH_f (0 K) = 17 kJ per mole of atoms
Crystal system = orthorhombic
Magnetization = 0.0 μB per cell
Calculated volume = 31.8 Å³/atom

The structure in CIF format:
```
data_Tb7Dy2Sc
_chemical_formula_sum 'Tb14 Dy4 Sc2'
_cell_length_a 6.458
_cell_length_b 28.501
_cell_length_c 3.453
_cell_angle_alpha 90.00
_cell_angle_beta 90.00
_cell_angle_gamma 90.00
_symmetry_space_group_name_H-M 'C m m m'
_symmetry_Int_Tables_number 65
_symmetry_space_group_name_Hall '-C 2 2'
loop_
_atom_site_label
_atom_site_fract_x
_atom_site_fract_y
_atom_site_fract_z
_atom_site_occupancy
Tb1 0.000 0.000 0.000 1
Tb2 0.000 0.313 0.500 1
Tb3 0.244 0.403 0.000 1
Dy1 0.000 0.207 0.000 1
Sc1 0.000 0.500 0.500 1
```

***

# 10
CsScI3 | PBE | optimized geometry

Properties
Energy relative to the elements, uncorrected = 0.09 eV/atom
Energy relative to the lowest polymorph listed for this composition = 1398.7 meV/atom
Crystal system = cubic
Magnetization = 1.0 μB per cell
Calculated volume = 64.4 Å³/atom

The structure in CIF format:
```
data_CsScI3
_chemical_formula_sum 'Cs1 Sc1 I3'
_cell_length_a 6.854
_cell_length_b 6.854
_cell_length_c 6.854
_cell_angle_alpha 90.00
_cell_angle_beta 90.00
_cell_angle_gamma 90.00
_symmetry_space_group_name_H-M 'P m -3 m'
_symmetry_Int_Tables_number 221
_symmetry_space_group_name_Hall '-P 4 2 3'
loop_
_atom_site_label
_atom_site_fract_x
_atom_site_fract_y
_atom_site_fract_z
_atom_site_occupancy
Cs1 0.000 0.000 0.000 1
Sc1 0.500 0.500 0.500 1
I1 0.000 0.000 0.500 1
```

***

# 11
TaTe2Pt | PBE | optimized geometry

Properties
Energy relative to the elements, uncorrected = 0.19 eV/atom
Crystal system = tetragonal
Magnetization = 0.0 μB per cell
Calculated volume = 20.1 Å³/atom

The structure in CIF format:
```
data_TaTe2Pt
_chemical_formula_sum 'Ta1 Te2 Pt1'
_cell_length_a 4.759
_cell_length_b 4.759
_cell_length_c 3.550
_cell_angle_alpha 90.00
_cell_angle_beta 90.00
_cell_angle_gamma 90.00
_symmetry_space_group_name_H-M 'P 4/m m m'
_symmetry_Int_Tables_number 123
_symmetry_space_group_name_Hall '-P 4 2'
loop_
_atom_site_label
_atom_site_fract_x
_atom_site_fract_y
_atom_site_fract_z
_atom_site_occupancy
Ta1 0.000 0.000 0.000 1
Te1 0.000 0.500 0.500 1
Pt1 0.500 0.500 0.000 1
```

***

# 12
ScZnSb2I | PBE | optimized geometry

Properties
Energy relative to the elements, uncorrected = 0.14 eV/atom
Energy relative to the lowest polymorph listed for this composition = 0.0 meV/atom
Crystal system = tetragonal
Magnetization = 0.0 μB per cell
Calculated volume = 35.2 Å³/atom

The structure in CIF format:
```
data_ScZnSb2I
_chemical_formula_sum 'Sc1 Zn1 Sb2 I1'
_cell_length_a 5.579
_cell_length_b 5.579
_cell_length_c 5.658
_cell_angle_alpha 90.00
_cell_angle_beta 90.00
_cell_angle_gamma 90.00
_symmetry_space_group_name_H-M 'P 4/m m m'
_symmetry_Int_Tables_number 123
_symmetry_space_group_name_Hall '-P 4 2'
loop_
_atom_site_label
_atom_site_fract_x
_atom_site_fract_y
_atom_site_fract_z
_atom_site_occupancy
Sc1 0.000 0.000 0.000 1
Zn1 0.500 0.500 0.500 1
Sb1 0.000 0.500 0.000 1
I1 0.000 0.000 0.500 1
```

***

# 13
Li2PmPd2 | PBE | optimized geometry

Properties
ΔH_f (0 K) = -52 kJ per mole of atoms
Energy relative to the lowest polymorph listed for this composition = 0.0 meV/atom
Crystal system = tetragonal
Magnetization = 0.0 μB per cell
Calculated volume = 19.1 Å³/atom

The structure in CIF format:
```
data_Li2PmPd2
_chemical_formula_sum 'Li4 Pm2 Pd4'
_cell_length_a 3.868
_cell_length_b 3.868
_cell_length_c 12.762
_cell_angle_alpha 90.00
_cell_angle_beta 90.00
_cell_angle_gamma 90.00
_symmetry_space_group_name_H-M 'I 4/m m m'
_symmetry_Int_Tables_number 139
_symmetry_space_group_name_Hall '-I 4 2'
loop_
_atom_site_label
_atom_site_fract_x
_atom_site_fract_y
_atom_site_fract_z
_atom_site_occupancy
Li1 0.000 0.500 0.250 1
Pm1 0.000 0.000 0.000 1
Pd1 0.000 0.000 0.393 1
```